--- w ---
Compound: Be2AlIn
Source: Alexandria via LeMat-Bulk
Functional: PBE-GGA
Structure: relaxed

- total magnetic moment (μB/atom) = 0.0000

Lattice parameters (Å, degrees): 4.7214 4.7214 2.8048 90.00 90.00 107.37
Last column: nearest neighbours and their distance in Å.
Positions (direct):
Be  0.0000  0.5000  0.0000  4 In 2.75, 4 Al 2.75, 4 Be 2.80
Be  0.5000  0.0000  0.0000  4 In 2.75, 4 Al 2.75, 4 Be 2.80
Al  0.0000  0.0000  0.5000  8 Be 2.75, 2 In 2.80, 2 Al 2.80
In  0.5000  0.5000  0.5000  8 Be 2.75, 2 Al 2.80, 2 In 2.80

---

--- x ---
Compound: Be2AlIn
Source: Alexandria via LeMat-Bulk
Functional: PBE-GGA
Structure: relaxed

- total magnetic moment (μB/atom) = 0.0000

Lattice parameters (Å, degrees): 2.8290 2.8290 7.4868 90.00 90.00 90.00
Last column: nearest neighbours and their distance in Å.
Positions (direct):
Be  0.0000  0.0000  0.2238  4 Al 2.61, 4 Be 2.83, 4 In 2.88
Be  0.0000  0.0000  0.7762  4 Al 2.61, 4 Be 2.83, 4 In 2.88
Al  0.5000  0.5000  0.0000  8 Be 2.61, 4 Al 2.83
In  0.5000  0.5000  0.5000  4 In 2.83, 8 Be 2.88

---

Energy comparison, zero being the most stable, in meV per atom: w 21; x 0.

---

--- w ---
Compound: Be2AlIn
Source: Alexandria via LeMat-Bulk
Functional: PBE-GGA
Structure: relaxed

- total magnetic moment (μB/atom) = 0.0000

Lattice parameters (Å, degrees): 4.8315 4.8315 4.8315 132.74 132.74 69.07
Last column: nearest neighbours and their distance in Å.
Positions (direct):
Be  0.0000  0.0000  0.0000  4 Al 2.74, 4 In 2.78, 4 Be 2.78
Be  0.7500  0.2500  0.5000  4 In 2.74, 4 Al 2.78, 4 Be 2.78
Al  0.5000  0.5000  0.0000  8 Be 2.74-2.78, 4 In 2.78
In  0.2500  0.7500  0.5000  8 Be 2.74-2.78, 4 Al 2.78

---

--- x ---
Compound: Be2AlIn
Source: Alexandria via LeMat-Bulk
Functional: PBE-GGA
Structure: relaxed

- total magnetic moment (μB/atom) = 0.0000

Lattice parameters (Å, degrees): 6.1164 6.1164 6.1164 153.16 142.88 46.40
Last column: nearest neighbours and their distance in Å.
Positions (direct):
Be  0.0000  0.0000  0.0000  2 Be 2.28, 4 Al 2.42
Be  0.8418  0.3418  0.5000  2 Be 2.28, 2 Al 2.52
Al  0.4844  0.4844  0.0000  6 Be 2.42-2.52
In  0.2132  0.7132  0.5000  6 Be 2.79-2.81, 2 In 2.84

---

Energy comparison, zero being the most stable, in meV per atom: w 104; x 0.

---

--- w ---
Compound: Be3AlIn
Source: Alexandria via LeMat-Bulk
Functional: PBE-GGA
Structure: relaxed

- total magnetic moment (μB/atom) = 0.0000

Lattice parameters (Å, degrees): 4.5552 4.5552 4.5552 90.00 90.00 90.00
Last column: nearest neighbours and their distance in Å.
Positions (direct):
Be  0.0000  0.0000  0.5000  2 In 2.28
Be  0.0000  0.5000  0.0000  2 In 2.28
Be  0.5000  0.0000  0.0000  2 In 2.28
Al  0.5000  0.5000  0.5000  12 Be 3.22
In  0.0000  0.0000  0.0000  6 Be 2.28

---

--- x ---
Compound: Be3AlIn
Source: Alexandria via LeMat-Bulk
Functional: PBE-GGA
Structure: relaxed

- total magnetic moment (μB/atom) = 0.0000

Lattice parameters (Å, degrees): 4.4522 4.4522 4.4522 90.00 90.00 90.00
Last column: nearest neighbours and their distance in Å.
Positions (direct):
Be  0.0000  0.0000  0.5000  2 Al 2.23
Be  0.0000  0.5000  0.0000  2 Al 2.23
Be  0.5000  0.0000  0.0000  2 Al 2.23
Al  0.0000  0.0000  0.0000  6 Be 2.23
In  0.5000  0.5000  0.5000  12 Be 3.15

---

Energy comparison, zero being the most stable, in meV per atom: w 262; x 0.